1.
Computed, not measured: a relaxed Tl2Ge2Br7 crystal at the PBE-GGA level of DFT.

- total energy (eV/atom) = -2.95

Structure (CIF):
```
data_Tl2Ge2Br7
_chemical_formula_sum 'Tl2 Ge2 Br7'
_symmetry_space_group_name_H-M 'P 1'
_symmetry_Int_Tables_number 1
_symmetry_space_group_name_Hall 'P 1'
_cell_length_a 8.3620
_cell_length_b 8.3620
_cell_length_c 6.7400
_cell_angle_alpha 97.08
_cell_angle_beta 97.08
_cell_angle_gamma 92.95
loop_
_atom_site_label
_atom_site_type_symbol
_atom_site_fract_x
_atom_site_fract_y
_atom_site_fract_z
Tl1 Tl 0.2181 0.7819 0.0000
Tl2 Tl 0.7819 0.2181 0.0000
Ge1 Ge 0.2730 0.2730 0.5576
Ge2 Ge 0.7270 0.7270 0.4424
Br1 Br 0.0756 0.3980 0.7705
Br2 Br 0.0978 0.0978 0.2660
Br3 Br 0.3980 0.0756 0.7705
Br4 Br 0.5000 0.5000 0.5000
Br5 Br 0.6020 0.9244 0.2295
Br6 Br 0.9022 0.9022 0.7340
Br7 Br 0.9244 0.6020 0.2295
```

***

2.
Computed, not measured: a relaxed Tl3GeBr4 crystal at the PBE-GGA level of DFT.

- total energy (eV/atom) = -2.86

Structure (CIF):
```
data_Tl3GeBr4
_chemical_formula_sum 'Tl6 Ge2 Br8'
_symmetry_space_group_name_H-M 'P 1'
_symmetry_Int_Tables_number 1
_symmetry_space_group_name_Hall 'P 1'
_cell_length_a 12.8207
_cell_length_b 6.7057
_cell_length_c 6.8032
_cell_angle_alpha 90.00
_cell_angle_beta 90.00
_cell_angle_gamma 90.00
loop_
_atom_site_label
_atom_site_type_symbol
_atom_site_fract_x
_atom_site_fract_y
_atom_site_fract_z
Tl1 Tl 0.0000 0.1469 0.0000
Tl2 Tl 0.2443 0.7163 0.9049
Tl3 Tl 0.2557 0.2837 0.4049
Tl4 Tl 0.5000 0.8531 0.5000
Tl5 Tl 0.7443 0.2837 0.4049
Tl6 Tl 0.7557 0.7163 0.9049
Ge1 Ge 0.0000 0.8293 0.3888
Ge2 Ge 0.5000 0.1707 0.8888
Br1 Br 0.0000 0.1850 0.5206
Br2 Br 0.0000 0.7092 0.8428
Br3 Br 0.2269 0.7924 0.4005
Br4 Br 0.2731 0.2076 0.9005
Br5 Br 0.5000 0.2908 0.3428
Br6 Br 0.5000 0.8150 0.0206
Br7 Br 0.7269 0.2076 0.9005
Br8 Br 0.7731 0.7924 0.4005
```

***

3.
Computed, not measured: a relaxed TlGe2Br crystal at the PBE-GGA level of DFT.

- distance to the lowest polymorph of the same formula (meV/atom) = 100.3

Structure (CIF):
```
data_TlGe2Br
_chemical_formula_sum 'Tl2 Ge4 Br2'
_symmetry_space_group_name_H-M 'P 1'
_symmetry_Int_Tables_number 1
_symmetry_space_group_name_Hall 'P 1'
_cell_length_a 8.7890
_cell_length_b 8.7890
_cell_length_c 8.7890
_cell_angle_alpha 141.25
_cell_angle_beta 141.25
_cell_angle_gamma 55.96
loop_
_atom_site_label
_atom_site_type_symbol
_atom_site_fract_x
_atom_site_fract_y
_atom_site_fract_z
Tl1 Tl 0.0000 0.0000 0.0000
Tl2 Tl 0.7500 0.2500 0.5000
Ge1 Ge 0.1251 0.6250 0.0001
Ge2 Ge 0.3750 0.3751 0.5001
Ge3 Ge 0.6249 0.1250 0.9999
Ge4 Ge 0.8750 0.8749 0.4999
Br1 Br 0.2500 0.7500 0.5000
Br2 Br 0.5000 0.5000 0.0000
```

***

4.
Computed, not measured: a relaxed Tl3GeBr5 crystal at the PBE-GGA level of DFT.

- total energy (eV/atom) = -2.94

Structure (CIF):
```
data_Tl3GeBr5
_chemical_formula_sum 'Tl6 Ge2 Br10'
_symmetry_space_group_name_H-M 'P 1'
_symmetry_Int_Tables_number 1
_symmetry_space_group_name_Hall 'P 1'
_cell_length_a 10.3562
_cell_length_b 10.3562
_cell_length_c 10.3562
_cell_angle_alpha 130.26
_cell_angle_beta 130.26
_cell_angle_gamma 72.98
loop_
_atom_site_label
_atom_site_type_symbol
_atom_site_fract_x
_atom_site_fract_y
_atom_site_fract_z
Tl1 Tl 0.1582 0.6582 0.8164
Tl2 Tl 0.2500 0.2500 0.0000
Tl3 Tl 0.3418 0.1582 0.5000
Tl4 Tl 0.6582 0.8418 0.5000
Tl5 Tl 0.7500 0.7500 0.0000
Tl6 Tl 0.8418 0.3418 0.1836
Ge1 Ge 0.2500 0.7500 0.5000
Ge2 Ge 0.7500 0.2500 0.5000
Br1 Br 0.0000 0.0000 0.0000
Br2 Br 0.0198 0.1827 0.5000
Br3 Br 0.1827 0.6827 0.1630
Br4 Br 0.3173 0.4802 0.5000
Br5 Br 0.4802 0.9802 0.1630
Br6 Br 0.5000 0.5000 0.0000
Br7 Br 0.5198 0.0198 0.8370
Br8 Br 0.6827 0.5198 0.5000
Br9 Br 0.8173 0.3173 0.8370
Br10 Br 0.9802 0.8173 0.5000
```

***

5.
Computed, not measured: a relaxed TlGe2Br7 crystal at the PBE-GGA level of DFT.

- total energy (eV/atom) = -2.78

Structure (CIF):
```
data_TlGe2Br7
_chemical_formula_sum 'Tl1 Ge2 Br7'
_symmetry_space_group_name_H-M 'P 1'
_symmetry_Int_Tables_number 1
_symmetry_space_group_name_Hall 'P 1'
_cell_length_a 10.7850
_cell_length_b 10.7850
_cell_length_c 4.3126
_cell_angle_alpha 90.00
_cell_angle_beta 90.00
_cell_angle_gamma 134.91
loop_
_atom_site_label
_atom_site_type_symbol
_atom_site_fract_x
_atom_site_fract_y
_atom_site_fract_z
Tl1 Tl 0.0000 0.0000 0.0000
Ge1 Ge 0.3697 0.6303 0.5000
Ge2 Ge 0.6303 0.3697 0.5000
Br1 Br 0.0635 0.3142 0.5000
Br2 Br 0.2948 0.7052 0.0000
Br3 Br 0.3142 0.0635 0.5000
Br4 Br 0.5000 0.5000 0.5000
Br5 Br 0.6858 0.9365 0.5000
Br6 Br 0.7052 0.2948 0.0000
Br7 Br 0.9365 0.6858 0.5000
```

***

6.
Computed, not measured: a relaxed Tl3GeBr6 crystal at the PBE-GGA level of DFT.

- total energy (eV/atom) = -2.86

Structure (CIF):
```
data_Tl3GeBr6
_chemical_formula_sum 'Tl6 Ge2 Br12'
_symmetry_space_group_name_H-M 'P 1'
_symmetry_Int_Tables_number 1
_symmetry_space_group_name_Hall 'P 1'
_cell_length_a 10.4540
_cell_length_b 10.4540
_cell_length_c 8.0992
_cell_angle_alpha 90.00
_cell_angle_beta 90.00
_cell_angle_gamma 105.63
loop_
_atom_site_label
_atom_site_type_symbol
_atom_site_fract_x
_atom_site_fract_y
_atom_site_fract_z
Tl1 Tl 0.0943 0.9057 0.5000
Tl2 Tl 0.2106 0.3926 0.4774
Tl3 Tl 0.3926 0.2106 0.9774
Tl4 Tl 0.6074 0.7894 0.4774
Tl5 Tl 0.7894 0.6074 0.9774
Tl6 Tl 0.9057 0.0943 0.0000
Ge1 Ge 0.3086 0.6914 0.9242
Ge2 Ge 0.6914 0.3086 0.4242
Br1 Br 0.0888 0.5947 0.7948
Br2 Br 0.1522 0.1689 0.7370
Br3 Br 0.1689 0.1522 0.2370
Br4 Br 0.2868 0.7132 0.2288
Br5 Br 0.4053 0.9112 0.7948
Br6 Br 0.4548 0.5452 0.8401
Br7 Br 0.5452 0.4548 0.3401
Br8 Br 0.5947 0.0888 0.2948
Br9 Br 0.7132 0.2868 0.7288
Br10 Br 0.8311 0.8478 0.7370
Br11 Br 0.8478 0.8311 0.2370
Br12 Br 0.9112 0.4053 0.2948
```

***

7.
Computed, not measured: a relaxed TlGe2Br8 crystal at the PBE-GGA level of DFT.

- total energy (eV/atom) = -2.84

Structure (CIF):
```
data_TlGe2Br8
_chemical_formula_sum 'Tl1 Ge2 Br8'
_symmetry_space_group_name_H-M 'P 1'
_symmetry_Int_Tables_number 1
_symmetry_space_group_name_Hall 'P 1'
_cell_length_a 8.3085
_cell_length_b 8.3085
_cell_length_c 7.9098
_cell_angle_alpha 104.62
_cell_angle_beta 104.62
_cell_angle_gamma 67.84
loop_
_atom_site_label
_atom_site_type_symbol
_atom_site_fract_x
_atom_site_fract_y
_atom_site_fract_z
Tl1 Tl 0.0000 0.0000 0.0000
Ge1 Ge 0.2089 0.2089 0.6964
Ge2 Ge 0.7911 0.7911 0.3036
Br1 Br 0.0830 0.6720 0.2359
Br2 Br 0.1903 0.1903 0.3841
Br3 Br 0.3280 0.9170 0.7641
Br4 Br 0.3855 0.3855 0.8676
Br5 Br 0.6145 0.6145 0.1324
Br6 Br 0.6720 0.0830 0.2359
Br7 Br 0.8097 0.8097 0.6159
Br8 Br 0.9170 0.3280 0.7641
```

***

8.
Computed, not measured: a relaxed TlGe4Br8 crystal at the PBE-GGA level of DFT.

- distance to the lowest polymorph of the same formula (meV/atom) = 34.8

Structure (CIF):
```
data_TlGe4Br8
_chemical_formula_sum 'Tl1 Ge4 Br8'
_symmetry_space_group_name_H-M 'P 1'
_symmetry_Int_Tables_number 1
_symmetry_space_group_name_Hall 'P 1'
_cell_length_a 8.7718
_cell_length_b 8.7718
_cell_length_c 8.7718
_cell_angle_alpha 60.00
_cell_angle_beta 60.00
_cell_angle_gamma 60.00
loop_
_atom_site_label
_atom_site_type_symbol
_atom_site_fract_x
_atom_site_fract_y
_atom_site_fract_z
Tl1 Tl 0.0000 0.0000 0.0000
Ge1 Ge 0.1381 0.6206 0.6206
Ge2 Ge 0.6206 0.1381 0.6206
Ge3 Ge 0.6206 0.6206 0.1381
Ge4 Ge 0.6206 0.6206 0.6206
Br1 Br 0.3898 0.3898 0.3898
Br2 Br 0.3898 0.3898 0.8305
Br3 Br 0.3898 0.8305 0.3898
Br4 Br 0.4338 0.8554 0.8554
Br5 Br 0.8305 0.3898 0.3898
Br6 Br 0.8554 0.4338 0.8554
Br7 Br 0.8554 0.8554 0.4338
Br8 Br 0.8554 0.8554 0.8554
```

***

9.
Computed, not measured: a relaxed TlGeBr3 crystal at the PBE-GGA level of DFT.

- total energy (eV/atom) = -3.09

Structure (CIF):
```
data_TlGeBr3
_chemical_formula_sum 'Tl4 Ge4 Br12'
_symmetry_space_group_name_H-M 'P 1'
_symmetry_Int_Tables_number 1
_symmetry_space_group_name_Hall 'P 1'
_cell_length_a 9.8357
_cell_length_b 4.2112
_cell_length_c 15.5695
_cell_angle_alpha 90.00
_cell_angle_beta 90.00
_cell_angle_gamma 90.00
loop_
_atom_site_label
_atom_site_type_symbol
_atom_site_fract_x
_atom_site_fract_y
_atom_site_fract_z
Tl1 Tl 0.0571 0.2500 0.1700
Tl2 Tl 0.4429 0.7500 0.6700
Tl3 Tl 0.5571 0.2500 0.3300
Tl4 Tl 0.9429 0.7500 0.8300
Ge1 Ge 0.1655 0.7500 0.4393
Ge2 Ge 0.3345 0.2500 0.9393
Ge3 Ge 0.6655 0.7500 0.0607
Ge4 Ge 0.8345 0.2500 0.5607
Br1 Br 0.0108 0.7500 0.6136
Br2 Br 0.1665 0.7500 0.0067
Br3 Br 0.2098 0.2500 0.7900
Br4 Br 0.2902 0.7500 0.2900
Br5 Br 0.3335 0.2500 0.5067
Br6 Br 0.4892 0.2500 0.1136
Br7 Br 0.5108 0.7500 0.8864
Br8 Br 0.6665 0.7500 0.4933
Br9 Br 0.7098 0.2500 0.7100
Br10 Br 0.7902 0.7500 0.2100
Br11 Br 0.8335 0.2500 0.9933
Br12 Br 0.9892 0.2500 0.3864
```

***

10.
Computed, not measured: a relaxed TmTlGeBr6 crystal at the PBE-GGA level of DFT.

- total energy (eV/atom) = -3.61

Structure (CIF):
```
data_TmTlGeBr6
_chemical_formula_sum 'Tm1 Tl1 Ge1 Br6'
_symmetry_space_group_name_H-M 'P 1'
_symmetry_Int_Tables_number 1
_symmetry_space_group_name_Hall 'P 1'
_cell_length_a 7.2719
_cell_length_b 7.2719
_cell_length_c 7.3000
_cell_angle_alpha 90.00
_cell_angle_beta 90.00
_cell_angle_gamma 120.00
loop_
_atom_site_label
_atom_site_type_symbol
_atom_site_fract_x
_atom_site_fract_y
_atom_site_fract_z
Tm1 Tm 0.0000 0.0000 0.0000
Tl1 Tl 0.3333 0.6667 0.5000
Ge1 Ge 0.6667 0.3333 0.0000
Br1 Br 0.3275 0.0326 0.2191
Br2 Br 0.3275 0.2950 0.7809
Br3 Br 0.7050 0.0326 0.7809
Br4 Br 0.7050 0.6725 0.2191
Br5 Br 0.9674 0.2950 0.2191
Br6 Br 0.9674 0.6725 0.7809
```

***

In the order shown, the computed density values come out to 3.99 5.71 5.40 5.71 4.25 4.54 3.41 3.95 5.32 4.60 g/cm3.